1.
The following is a GGA-PBE calculation of an optimized crystal structure of Sc5Ir3, from Alexandria via LeMat-Bulk.

Unit cell a=5.7664 b=5.7664 c=4.5650 alpha=90.00 beta=90.00 gamma=72.67
Last column: nearest neighbours and their distance in Å.
Fractional coordinates of all 8 atoms:
Ir  0.7725  0.7725  0.5000  10 Sc 2.83-3.11
Ir  0.2275  0.2275  0.5000  10 Sc 2.83-3.11
Ir  0.5000  0.5000  0.0000  8 Sc 2.75-2.88
Sc  0.2746  0.7254  0.5000  6 Ir 2.75-2.96, 3 Sc 2.95-3.08
Sc  0.7254  0.2746  0.5000  6 Ir 2.75-2.96, 3 Sc 2.95-3.08
Sc  0.0000  0.5000  0.0000  6 Ir 2.86-2.88, 2 Sc 2.88
Sc  0.5000  0.0000  0.0000  6 Ir 2.86-2.88, 2 Sc 2.88
Sc  0.0000  0.0000  0.0000  8 Sc 2.88-2.95, 4 Ir 3.11

=====

2.
The following is a GGA-PBE calculation of an optimized crystal structure of Mo2WAu, from Alexandria via LeMat-Bulk.

Unit cell a=3.9878 b=4.0181 c=4.0181 alpha=90.00 beta=90.00 gamma=90.00
Last column: nearest neighbours and their distance in Å.
Fractional coordinates of all 4 atoms:
Mo  0.0000  0.0000  0.0000  4 Au 2.83, 4 W 2.83, 4 Mo 2.84
Mo  0.0000  0.5000  0.5000  4 W 2.83, 4 Au 2.83, 4 Mo 2.84
W  0.5000  0.5000  0.0000  8 Mo 2.83, 4 Au 2.84
Au  0.5000  0.0000  0.5000  8 Mo 2.83, 4 W 2.84

=====

In meV per atom, the offset from the most stable computed form values for the records above are, in order, 81, 55.
In eV per atom, the energy of formation values for the records above are, in order, -0.763, 0.202.